# 1
Material: MgB3H
Method: DFT, meta-GGA SCAN
State: PBEsol geometry

As for the volume: 38.6 Å³/cell. For the density of states at the Fermi level, the calculation gives 0.29 states/eV/atom. The space group is No. 221. Its final energy is -4.676 eV per atom.

abc: 3.379 3.379 3.379
angles: 90.00 90.00 90.00
Element x y z (fractional)
Mg (0.500, 0.500, 0.500)
B (0.000, 0.000, 0.500)
B (0.000, 0.500, 0.000)
B (0.500, 0.000, 0.000)
H (0.000, 0.000, 0.000)

---

# 2
Material: MgB2H8
Method: DFT, meta-GGA SCAN
State: PBEsol geometry

As for the volume: 1910.3 Å³/cell. For the density of states at the Fermi level, the calculation gives 0.00 states/eV/atom. The space group is No. 230. Its final energy is -4.588 eV per atom. The value obtained for the energy above the most stable polymorph in this dataset is 0.000 eV/atom.

abc: 13.539 13.539 13.539
angles: 109.47 109.47 109.47
Element x y z (fractional)
H (0.350, 0.304, 0.081)
H (0.242, 0.661, 0.680)
H (0.231, 0.777, 0.081)
H (0.954, 0.223, 0.304)
H (0.161, 0.419, 0.482)
H (0.839, 0.258, 0.820)
H (0.231, 0.454, 0.650)
H (0.731, 0.081, 0.777)
H (0.482, 0.562, 0.820)
H (0.938, 0.018, 0.680)
H (0.320, 0.482, 0.062)
H (0.982, 0.161, 0.919)
H (0.150, 0.919, 0.696)
H (0.482, 0.919, 0.161)
H (0.081, 0.742, 0.562)
H (0.277, 0.546, 0.196)
H (0.320, 0.839, 0.758)
H (0.258, 0.938, 0.419)
H (0.850, 0.081, 0.304)
H (0.419, 0.650, 0.196)
H (0.661, 0.180, 0.742)
H (0.680, 0.518, 0.938)
H (0.581, 0.350, 0.804)
H (0.919, 0.196, 0.650)
H (0.018, 0.839, 0.081)
H (0.438, 0.680, 0.018)
H (0.546, 0.696, 0.777)
H (0.820, 0.062, 0.482)
H (0.062, 0.081, 0.242)
H (0.269, 0.350, 0.546)
H (0.339, 0.820, 0.258)
H (0.804, 0.954, 0.723)
H (0.696, 0.277, 0.046)
H (0.419, 0.769, 0.723)
H (0.223, 0.419, 0.269)
H (0.196, 0.046, 0.277)
H (0.196, 0.150, 0.419)
H (0.919, 0.723, 0.769)
H (0.081, 0.339, 0.018)
H (0.769, 0.223, 0.919)
H (0.562, 0.242, 0.081)
H (0.661, 0.482, 0.419)
H (0.018, 0.180, 0.438)
H (0.339, 0.518, 0.581)
H (0.269, 0.919, 0.223)
H (0.223, 0.804, 0.454)
H (0.804, 0.850, 0.581)
H (0.046, 0.269, 0.850)
H (0.304, 0.723, 0.954)
H (0.919, 0.661, 0.982)
H (0.919, 0.258, 0.438)
H (0.546, 0.850, 0.269)
H (0.304, 0.581, 0.850)
H (0.150, 0.231, 0.954)
H (0.562, 0.320, 0.982)
H (0.258, 0.320, 0.339)
H (0.680, 0.161, 0.242)
H (0.350, 0.046, 0.769)
H (0.820, 0.758, 0.839)
H (0.581, 0.562, 0.742)
H (0.518, 0.438, 0.180)
H (0.777, 0.581, 0.731)
H (0.454, 0.150, 0.731)
H (0.180, 0.242, 0.161)
H (0.723, 0.454, 0.804)
H (0.242, 0.581, 0.062)
H (0.518, 0.081, 0.839)
H (0.180, 0.938, 0.518)
H (0.696, 0.419, 0.150)
H (0.731, 0.650, 0.454)
H (0.742, 0.680, 0.661)
H (0.277, 0.731, 0.581)
H (0.419, 0.438, 0.258)
H (0.438, 0.758, 0.919)
H (0.839, 0.581, 0.518)
H (0.723, 0.269, 0.419)
H (0.046, 0.777, 0.696)
H (0.081, 0.804, 0.350)
H (0.769, 0.546, 0.350)
H (0.081, 0.277, 0.231)
H (0.758, 0.419, 0.938)
H (0.419, 0.982, 0.661)
H (0.938, 0.919, 0.758)
H (0.650, 0.696, 0.919)
H (0.161, 0.742, 0.180)
H (0.758, 0.339, 0.320)
H (0.581, 0.231, 0.277)
H (0.650, 0.954, 0.231)
H (0.581, 0.018, 0.339)
H (0.454, 0.304, 0.223)
H (0.982, 0.820, 0.562)
H (0.062, 0.982, 0.320)
H (0.850, 0.769, 0.046)
H (0.954, 0.731, 0.150)
H (0.742, 0.062, 0.581)
H (0.777, 0.196, 0.546)
Mg (0.875, 0.750, 0.625)
Mg (0.750, 0.125, 0.375)
Mg (0.875, 0.125, 0.750)
Mg (0.250, 0.375, 0.125)
Mg (0.125, 0.250, 0.375)
Mg (0.250, 0.875, 0.625)
Mg (0.750, 0.625, 0.875)
Mg (0.625, 0.250, 0.875)
Mg (0.375, 0.750, 0.125)
Mg (0.375, 0.625, 0.750)
Mg (0.125, 0.875, 0.250)
Mg (0.625, 0.375, 0.250)
B (0.250, 0.436, 0.564)
B (0.186, 0.871, 0.436)
B (0.686, 0.436, 0.871)
B (0.564, 0.936, 0.250)
B (0.686, 0.250, 0.314)
B (0.564, 0.629, 0.814)
B (0.629, 0.314, 0.064)
B (0.871, 0.936, 0.686)
B (0.186, 0.314, 0.250)
B (0.750, 0.564, 0.436)
B (0.936, 0.186, 0.371)
B (0.371, 0.686, 0.936)
B (0.129, 0.064, 0.314)
B (0.814, 0.129, 0.564)
B (0.436, 0.064, 0.750)
B (0.314, 0.564, 0.129)
B (0.250, 0.814, 0.186)
B (0.314, 0.750, 0.686)
B (0.064, 0.250, 0.936)
B (0.750, 0.186, 0.814)
B (0.814, 0.686, 0.750)
B (0.936, 0.750, 0.064)
B (0.064, 0.814, 0.629)
B (0.436, 0.371, 0.186)

---

# 3
Material: MgB2H8
Method: DFT, meta-GGA SCAN
State: PBEsol geometry

As for the volume: 84.0 Å³/cell. For the density of states at the Fermi level, the calculation gives 0.00 states/eV/atom. The space group is No. 164. Its final energy is -4.557 eV per atom. The value obtained for the energy above the most stable polymorph in this dataset is 0.031 eV/atom.

abc: 4.197 4.197 5.508
angles: 90.00 90.00 120.00
Element x y z (fractional)
H (0.667, 0.333, 0.023)
H (0.354, 0.177, 0.714)
H (0.823, 0.177, 0.714)
H (0.823, 0.646, 0.714)
H (0.646, 0.823, 0.286)
H (0.177, 0.354, 0.286)
H (0.177, 0.823, 0.286)
H (0.333, 0.667, 0.977)
Mg (0.000, 0.000, 0.000)
B (0.333, 0.667, 0.199)
B (0.667, 0.333, 0.801)

---

# 4
Material: MgB2H8
Method: DFT, meta-GGA SCAN
State: PBEsol geometry

As for the volume: 325.2 Å³/cell. For the density of states at the Fermi level, the calculation gives 0.00 states/eV/atom. The space group is No. 22. Its final energy is -4.584 eV per atom. The value obtained for the energy above the most stable polymorph in this dataset is 0.005 eV/atom.

abc: 7.432 7.432 7.731
angles: 115.47 115.47 96.04
Element x y z (fractional)
B (0.080, 0.857, 0.237)
B (0.143, 0.920, 0.763)
B (0.619, 0.843, 0.763)
B (0.157, 0.381, 0.237)
H (0.709, 0.006, 0.951)
H (0.015, 0.006, 0.275)
H (0.275, 0.520, 0.250)
H (0.100, 0.441, 0.375)
H (0.994, 0.985, 0.725)
H (0.054, 0.757, 0.049)
H (0.066, 0.726, 0.625)
H (0.271, 0.025, 0.750)
H (0.994, 0.291, 0.049)
H (0.480, 0.725, 0.750)
H (0.274, 0.934, 0.375)
H (0.731, 0.740, 0.725)
H (0.243, 0.946, 0.951)
H (0.559, 0.900, 0.625)
H (0.975, 0.729, 0.250)
H (0.260, 0.269, 0.275)
Mg (0.000, 0.000, 0.000)
Mg (0.250, 0.750, 0.500)

---

# 5
Material: MgB2H8
Method: DFT, meta-GGA SCAN
State: PBEsol geometry

As for the volume: 342.1 Å³/cell. For the density of states at the Fermi level, the calculation gives 0.00 states/eV/atom. The space group is No. 142. Its final energy is -4.578 eV per atom. The value obtained for the energy above the most stable polymorph in this dataset is 0.010 eV/atom.

abc: 7.439 8.117 7.439
angles: 62.73 90.00 117.27
Element x y z (fractional)
B (0.163, 0.250, 0.625)
B (0.125, 0.750, 0.163)
B (0.625, 0.750, 0.587)
B (0.087, 0.250, 0.125)
B (0.587, 0.250, 0.125)
B (0.663, 0.250, 0.625)
B (0.625, 0.750, 0.087)
B (0.125, 0.750, 0.663)
H (0.713, 0.910, 0.104)
H (0.267, 0.259, 0.488)
H (0.197, 0.910, 0.985)
H (0.537, 0.590, 0.265)
H (0.253, 0.741, 0.267)
H (0.258, 0.241, 0.762)
H (0.488, 0.741, 0.992)
H (0.265, 0.410, 0.053)
H (0.037, 0.590, 0.646)
H (0.146, 0.410, 0.537)
H (0.483, 0.241, 0.262)
H (0.053, 0.590, 0.146)
H (0.997, 0.759, 0.258)
H (0.485, 0.090, 0.697)
H (0.104, 0.090, 0.197)
H (0.985, 0.090, 0.713)
H (0.767, 0.259, 0.753)
H (0.758, 0.241, 0.497)
H (0.983, 0.241, 0.997)
H (0.262, 0.759, 0.758)
H (0.765, 0.410, 0.037)
H (0.213, 0.910, 0.485)
H (0.553, 0.590, 0.765)
H (0.697, 0.910, 0.604)
H (0.604, 0.090, 0.213)
H (0.988, 0.741, 0.767)
H (0.753, 0.741, 0.492)
H (0.646, 0.410, 0.553)
H (0.762, 0.759, 0.983)
H (0.492, 0.259, 0.988)
H (0.992, 0.259, 0.253)
H (0.497, 0.759, 0.483)
Mg (0.750, 0.500, 0.250)
Mg (0.000, 0.000, 0.500)
Mg (0.250, 0.500, 0.750)
Mg (0.500, 0.000, 0.000)

---

# 6
Material: MgB2H8
Method: DFT, meta-GGA SCAN
State: PBEsol geometry

As for the volume: 323.0 Å³/cell. For the density of states at the Fermi level, the calculation gives 0.00 states/eV/atom. The space group is No. 119. Its final energy is -4.584 eV per atom. The value obtained for the energy above the most stable polymorph in this dataset is 0.005 eV/atom.

abc: 7.541 7.541 7.541
angles: 80.39 65.39 114.61
Element x y z (fractional)
H (0.644, 0.562, 0.082)
H (0.716, 0.998, 0.031)
H (0.716, 0.717, 0.254)
H (0.750, 0.277, 0.973)
H (0.250, 0.277, 0.473)
H (0.971, 0.717, 0.998)
H (0.971, 0.254, 0.031)
H (0.284, 0.031, 0.998)
H (0.356, 0.082, 0.562)
H (0.284, 0.254, 0.717)
H (0.750, 0.473, 0.277)
H (0.250, 0.973, 0.277)
H (0.644, 0.082, 0.274)
H (0.356, 0.274, 0.082)
H (0.029, 0.031, 0.254)
H (0.029, 0.998, 0.717)
Mg (0.500, 0.250, 0.250)
Mg (0.000, 0.000, 0.000)
B (0.770, 0.617, 0.152)
B (0.230, 0.152, 0.617)
B (0.770, 0.152, 0.078)
B (0.230, 0.078, 0.152)

---

Record order is preserved below.
Total moment: 0.00 0.00 0.00 0.00 0.00 0.00 μB per formula unit